Record 1
This record from Alexandria describes crystalline TiNb2W4 at its relaxed geometry. The functional is PBE.

```
TiNb2W4
1.0
5.5493 -0.1803 0.0000
-2.8299 4.7769 0.0000
-1.3597 -2.2983 4.8679
Nb W Ti
2 4 1
Cartesian
2.7746 -0.0901 2.4339
-1.4149 2.3885 2.4339
0.0002 -0.0001 1.8085
1.3595 2.2984 3.0594
-2.6331 1.5578 4.8677
3.9928 0.7406 0.0002
1.3597 2.2983 0.0000
```

## Properties
**Formation energy**: 0.460 eV/atom
**Space-group type**: I4/mmm, No. 139
**Size of the total moment**: 0.000 μB per cell



Record 2
This record from Alexandria describes crystalline Ti3NbW2 at its relaxed geometry. The functional is PBE.

```
Ti3NbW2
1.0
-3.3885 2.7087 -1.2911
-1.8251 -4.5352 -4.7246
-2.2337 -3.8310 5.7585
Ti W Nb
6 4 2
Cartesian
-5.3687 -1.5026 3.0042
-2.0786 -4.1549 -3.2614
-4.9226 -3.9207 -3.2395
-3.5950 -1.7692 -2.2102
-3.8523 -3.8882 1.9530
-2.5247 -1.7368 2.9823
-3.0526 -4.1675 -0.7316
-2.3219 0.3563 -1.0922
-4.3947 -1.4900 0.4745
-5.1254 -6.0137 0.8350
-5.7421 -3.6245 -0.4675
-1.7052 -2.0330 0.2103
```

## Properties
**Formation energy**: 0.158 eV/atom
**Space-group type**: C2/m, No. 12
**Size of the total moment**: 0.000 μB per cell